VASP calculation (GGA-PBE) on AgRuSe2 after structural relaxation.

Computed properties:
The total moment comes out at 0.00 μB/cell. As for the space group: Pmm2. Its energy is -4.5753 eV/atom. Its formation energy from raw total energies is 0.199 eV/atom. As for the density of states at the Fermi level: 2.35 states/eV/f.u. The relative energy among the computed polymorphs comes out at 287 meV/atom.

Unit cell a=3.091 b=3.999 c=5.883 alpha=90.00 beta=90.00 gamma=90.00
Sites, in units of the cell vectors:
Ag 0.000 0.000 0.000
Ru 0.500 0.500 0.347
Se 0.000 0.000 0.448
Se 0.500 0.500 0.777

VASP calculation (GGA-PBE) on CsTiMnCl6 after structural relaxation.

Computed properties:
The total moment comes out at 6.00 μB/cell. As for the space group: C2. Its energy is -4.7551 eV/atom. Its formation energy from raw total energies is -1.533 eV/atom. As for the density of states at the Fermi level: 6.70 states/eV/f.u.

Unit cell a=6.561 b=6.561 c=7.774 alpha=90.14 beta=90.14 gamma=119.85
Sites, in units of the cell vectors:
Cs 0.000 0.000 0.000
Ti 0.667 0.333 0.500
Mn 0.333 0.667 0.500
Cl 0.383 0.012 0.681
Cl 0.387 0.376 0.317
Cl 0.624 0.613 0.683
Cl 0.625 0.011 0.318
Cl 0.988 0.617 0.319
Cl 0.989 0.375 0.682

VASP calculation (GGA-PBE) on Ba3HgPd after structural relaxation.

Computed properties:
The total moment comes out at 0.00 μB/cell. As for the space group: Pm-3m. For the formation energy from the elements, the calculation gives -0.3035 eV per atom. Its energy is -2.5561 eV/atom. As for the density of states at the Fermi level: 2.38 states/eV/f.u. The relative energy among the computed polymorphs comes out at 104 meV/atom.

Unit cell a=6.194 b=6.194 c=6.194 alpha=90.00 beta=90.00 gamma=90.00
Sites, in units of the cell vectors:
Ba 0.000 0.000 0.500
Ba 0.000 0.500 0.000
Ba 0.500 0.000 0.000
Hg 0.500 0.500 0.500
Pd 0.000 0.000 0.000

VASP calculation (GGA-PBE) on TlSF6 after structural relaxation.

Computed properties:
The total moment comes out at 1.02 μB/cell. As for the space group: R-3m. Its energy is -3.8088 eV/atom. Its formation energy from raw total energies is -1.594 eV/atom. As for the density of states at the Fermi level: 1.25 states/eV/f.u.

Unit cell a=5.966 b=5.966 c=5.966 alpha=55.33 beta=55.33 gamma=55.33
Sites, in units of the cell vectors:
Tl 0.000 0.000 0.000
S 0.500 0.500 0.500
F 0.137 0.582 0.582
F 0.418 0.418 0.863
F 0.418 0.863 0.418
F 0.582 0.137 0.582
F 0.582 0.582 0.137
F 0.863 0.418 0.418

VASP calculation (GGA-PBE) on LaPm5Pr4 after structural relaxation.

Computed properties:
The total moment comes out at 0.00 μB/cell. As for the space group: C2/m. For the formation energy from the elements, the calculation gives 0.0144 eV per atom. Its energy is -4.7654 eV/atom. As for the density of states at the Fermi level: 16.60 states/eV/f.u. The relative energy among the computed polymorphs comes out at 0 meV/atom.

Unit cell a=13.319 b=13.319 c=7.365 alpha=97.98 beta=97.98 gamma=15.94
Sites, in units of the cell vectors:
La 0.000 0.000 0.000
Pm 0.000 0.000 0.500
Pm 0.200 0.200 0.599
Pm 0.400 0.400 0.202
Pm 0.600 0.600 0.798
Pm 0.800 0.800 0.401
Pr 0.200 0.200 0.101
Pr 0.400 0.400 0.697
Pr 0.600 0.600 0.303
Pr 0.800 0.800 0.899

VASP calculation (GGA-PBE) on HoPaAlRe after structural relaxation.

Computed properties:
The total moment comes out at 0.00 μB/cell. As for the space group: F-43m. For the formation energy from the elements, the calculation gives -0.0486 eV per atom. Its energy is -7.6147 eV/atom. As for the density of states at the Fermi level: 1.02 states/eV/f.u.

Unit cell a=4.827 b=4.827 c=4.827 alpha=60.00 beta=60.00 gamma=60.00
Sites, in units of the cell vectors:
Ho 0.000 0.000 0.000
Pa 0.750 0.750 0.750
Al 0.250 0.250 0.250
Re 0.500 0.500 0.500

VASP calculation (GGA-PBE) on K3Zr5S12 after structural relaxation.

Computed properties:
The total moment comes out at 0.00 μB/cell. As for the space group: Ia-3d. Its energy is -6.0744 eV/atom. Its formation energy from raw total energies is -1.296 eV/atom. As for the density of states at the Fermi level: 22.04 states/eV/f.u.

Unit cell a=14.248 b=14.248 c=14.248 alpha=109.47 beta=109.47 gamma=109.47
Sites, in units of the cell vectors:
K 0.125 0.250 0.375
K 0.125 0.375 0.750
K 0.250 0.375 0.125
K 0.250 0.875 0.625
K 0.375 0.125 0.250
K 0.375 0.750 0.125
K 0.625 0.250 0.875
K 0.625 0.875 0.750
K 0.750 0.125 0.375
K 0.750 0.625 0.875
K 0.875 0.625 0.250
K 0.875 0.750 0.625
Zr 0.000 0.000 0.000
Zr 0.000 0.000 0.500
Zr 0.000 0.500 0.000
Zr 0.000 0.500 0.500
Zr 0.125 0.750 0.875
Zr 0.125 0.875 0.250
Zr 0.250 0.125 0.875
Zr 0.250 0.625 0.375
Zr 0.375 0.250 0.625
Zr 0.375 0.625 0.750
Zr 0.500 0.000 0.000
Zr 0.500 0.000 0.500
Zr 0.500 0.500 0.000
Zr 0.500 0.500 0.500
Zr 0.625 0.375 0.250
Zr 0.625 0.750 0.375
Zr 0.750 0.375 0.625
Zr 0.750 0.875 0.125
Zr 0.875 0.125 0.750
Zr 0.875 0.250 0.125
S 0.015 0.195 0.109
S 0.015 0.320 0.906
S 0.086 0.695 0.680
S 0.086 0.891 0.406
S 0.094 0.609 0.414
S 0.094 0.985 0.680
S 0.109 0.015 0.195
S 0.109 0.594 0.914
S 0.180 0.195 0.586
S 0.180 0.485 0.594
S 0.195 0.109 0.015
S 0.195 0.586 0.180
S 0.305 0.320 0.914
S 0.305 0.485 0.391
S 0.320 0.906 0.015
S 0.320 0.914 0.305
S 0.391 0.305 0.485
S 0.391 0.586 0.906
S 0.406 0.086 0.891
S 0.406 0.820 0.515
S 0.414 0.094 0.609
S 0.414 0.820 0.805
S 0.485 0.391 0.305
S 0.485 0.594 0.180
S 0.515 0.406 0.820
S 0.515 0.609 0.695
S 0.586 0.180 0.195
S 0.586 0.906 0.391
S 0.594 0.180 0.485
S 0.594 0.914 0.109
S 0.609 0.414 0.094
S 0.609 0.695 0.515
S 0.680 0.086 0.695
S 0.680 0.094 0.985
S 0.695 0.515 0.609
S 0.695 0.680 0.086
S 0.805 0.414 0.820
S 0.805 0.891 0.985
S 0.820 0.515 0.406
S 0.820 0.805 0.414
S 0.891 0.406 0.086
S 0.891 0.985 0.805
S 0.906 0.015 0.320
S 0.906 0.391 0.586
S 0.914 0.109 0.594
S 0.914 0.305 0.320
S 0.985 0.680 0.094
S 0.985 0.805 0.891

VASP calculation (GGA-PBE) on VOs2Au after structural relaxation.

Computed properties:
The total moment comes out at 0.00 μB/cell. As for the space group: Fm-3m. For the formation energy from the elements, the calculation gives 0.4304 eV per atom. Its energy is -8.2835 eV/atom. As for the density of states at the Fermi level: 3.23 states/eV/f.u. The relative energy among the computed polymorphs comes out at 0 meV/atom.

Unit cell a=4.394 b=4.394 c=4.394 alpha=60.00 beta=60.00 gamma=60.00
Sites, in units of the cell vectors:
V 0.000 0.000 0.000
Os 0.250 0.250 0.250
Os 0.750 0.750 0.750
Au 0.500 0.500 0.500

VASP calculation (GGA-PBE) on K4Tl2Cd3 after structural relaxation.

Computed properties:
The total moment comes out at 0.00 μB/cell. As for the space group: C2/m. For the formation energy from the elements, the calculation gives -0.0618 eV per atom. Its energy is -1.3805 eV/atom. As for the density of states at the Fermi level: 4.99 states/eV/f.u.

Unit cell a=9.386 b=9.386 c=8.183 alpha=105.19 beta=105.19 gamma=31.38
Sites, in units of the cell vectors:
K 0.081 0.081 0.390
K 0.268 0.268 0.806
K 0.732 0.732 0.194
K 0.919 0.919 0.610
Tl 0.094 0.094 0.954
Tl 0.906 0.906 0.046
Cd 0.405 0.405 0.268
Cd 0.500 0.500 0.000
Cd 0.595 0.595 0.732

VASP calculation (GGA-PBE) on Pr2InCuSe5 after structural relaxation.

Computed properties:
The total moment comes out at 0.00 μB/cell. As for the space group: Pnma. Its energy is -4.9982 eV/atom. Its formation energy from raw total energies is -1.241 eV/atom. The relative energy among the computed polymorphs comes out at 0 meV/atom.

Unit cell a=12.234 b=4.099 c=17.555 alpha=90.00 beta=90.00 gamma=90.00
Sites, in units of the cell vectors:
Pr 0.024 0.250 0.179
Pr 0.136 0.750 0.596
Pr 0.364 0.250 0.096
Pr 0.476 0.750 0.679
Pr 0.524 0.250 0.321
Pr 0.636 0.750 0.904
Pr 0.864 0.250 0.404
Pr 0.976 0.750 0.821
In 0.192 0.750 0.363
In 0.308 0.250 0.863
In 0.692 0.750 0.137
In 0.808 0.250 0.637
Cu 0.073 0.750 0.996
Cu 0.427 0.250 0.496
Cu 0.573 0.750 0.504
Cu 0.927 0.250 0.004
Se 0.014 0.250 0.694
Se 0.099 0.250 0.920
Se 0.106 0.250 0.465
Se 0.182 0.750 0.111
Se 0.241 0.750 0.771
Se 0.259 0.250 0.271
Se 0.318 0.250 0.611
Se 0.394 0.750 0.965
Se 0.401 0.750 0.420
Se 0.486 0.750 0.194
Se 0.514 0.250 0.806
Se 0.599 0.250 0.580
Se 0.606 0.250 0.035
Se 0.682 0.750 0.389
Se 0.741 0.750 0.729
Se 0.759 0.250 0.229
Se 0.818 0.250 0.889
Se 0.894 0.750 0.535
Se 0.901 0.750 0.080
Se 0.986 0.750 0.306

VASP calculation (GGA-PBE) on TiMnSbTe2 after structural relaxation.

Computed properties:
The total moment comes out at 5.17 μB/cell. As for the space group: P4/mmm. Its energy is -5.1417 eV/atom. Its formation energy from raw total energies is 0.352 eV/atom. As for the density of states at the Fermi level: 3.52 states/eV/f.u. The relative energy among the computed polymorphs comes out at 0 meV/atom.

Unit cell a=5.307 b=5.307 c=5.328 alpha=90.00 beta=90.00 gamma=90.00
Sites, in units of the cell vectors:
Ti 0.000 0.000 0.000
Mn 0.500 0.500 0.500
Sb 0.000 0.000 0.500
Te 0.000 0.500 0.000
Te 0.500 0.000 0.000

VASP calculation (GGA-PBE) on AgH2Pd8 after structural relaxation.

Computed properties:
The total moment comes out at 0.00 μB/cell. As for the space group: P1. Its energy is -4.5913 eV/atom. As for the density of states at the Fermi level: 15.44 states/eV/f.u.

Unit cell a=4.860 b=4.864 c=7.162 alpha=77.62 beta=77.77 gamma=69.28
Sites, in units of the cell vectors:
Ag 0.000 0.000 0.000
H 0.233 0.236 0.322
H 0.644 0.643 0.910
Pd 0.018 0.533 0.769
Pd 0.075 0.075 0.567
Pd 0.111 0.629 0.368
Pd 0.339 0.340 0.057
Pd 0.533 0.019 0.769
Pd 0.566 0.567 0.571
Pd 0.628 0.112 0.369
Pd 0.651 0.654 0.155

Look up the energy of the sixth one. -7.6147 eV/atom

Which of these has the lowest energy? VOs2Au

Which value of total moment does entry 10 give? 0.00 μB/cell

Look up the total moment of the eleventh one. 5.17 μB/cell